# La2YAg

A PBEsol-optimized structure of La2YAg (SCAN, the Alexandria database).

Lattice parameters (Å, degrees): 3.7307 3.7307 8.5484 90.00 90.00 90.00
Space group P4/mmm (No. 123)
Inequivalent atoms, fractional coordinates:
La1 0.0000 0.0000 0.2188 (multiplicity 2)
Y1 0.5000 0.5000 0.5000 (multiplicity 1)
Ag1 0.5000 0.5000 0.0000 (multiplicity 1)

- formation enthalpy at 0 K (meV/atom) = -116
- E above lowest polymorph (meV per atom) = 44
- VASP energy (eV for the cell shown) = -145.9

***

# LaCrRh2

A PBEsol-optimized structure of LaCrRh2 (SCAN, the Alexandria database).

Lattice parameters (Å, degrees): 4.0214 4.0214 8.5091 90.00 90.00 90.00
Space group I-4m2 (No. 119)
Inequivalent atoms, fractional coordinates:
La1 0.0000 0.0000 0.0000 (multiplicity 2)
Cr1 0.0000 0.5000 0.7500 (multiplicity 2)
Rh1 0.0000 0.0000 0.5000 (multiplicity 2)
Rh2 0.0000 0.5000 0.2500 (multiplicity 2)

- formation enthalpy at 0 K (meV/atom) = -151
- E above lowest polymorph (meV per atom) = 0
- VASP energy (eV for the cell shown) = -259.3